# PBE+U ZnCr2O5, relaxed
data_ZnCr2O5
_chemical_formula_sum 'Zn4 Cr8 O20'
_cell_length_a 3.626
_cell_length_b 10.135
_cell_length_c 11.504
_cell_angle_alpha 90.00
_cell_angle_beta 90.00
_cell_angle_gamma 90.00
_symmetry_space_group_name_H-M 'C m c m'
_symmetry_Int_Tables_number 63
_symmetry_space_group_name_Hall '-C 2c 2'
loop_
_atom_site_label
_atom_site_type_symbol
_atom_site_fract_x
_atom_site_fract_y
_atom_site_fract_z
Zn1 Zn 0.000 0.089 0.250
Cr1 Cr 0.000 0.215 0.598
O1 O 0.000 0.051 0.631
O2 O 0.000 0.225 0.074
O3 O 0.000 0.307 0.750
# relative energy among the computed polymorphs	0.000	eV per atom
# M_tot	0.5000	μB per atom